Entry 1:
TiInS2 after structural relaxation. Source: Alexandria via LeMat-Bulk, functional GGA-PBE.

a b c (Å): 8.036 8.036 8.036
angles (deg): 26.81 26.81 26.81
Last column: magnetic moment on the atom in μB.
Fractional coordinates of all 4 atoms:
In 0.500 0.500 0.500  0.01
S 0.100 0.100 0.100  -0.01
S 0.900 0.900 0.900  -0.01
Ti 0.000 0.000 0.000  0.50

## Properties
Space-group type: R-3m
Calculated total energy, eV per atom: -4.96
Magnetization, μB per cell: 0.7
Calculated volume, Å³ per atom: 23.27


Entry 2:
Ti3InS after structural relaxation. Source: Alexandria via LeMat-Bulk, functional GGA-PBE.

a b c (Å): 4.526 4.526 4.526
angles (deg): 90.00 90.00 90.00
Fractional coordinates of all 5 atoms:
Ti 0.000 0.500 0.000
Ti 0.000 0.000 0.500
Ti 0.500 0.000 0.000
S 0.000 0.000 0.000
In 0.500 0.500 0.500

## Properties
E above lowest polymorph, eV per formula unit: 0.00
Space-group type: Pm-3m
Calculated total energy, eV per atom: -6.59
Magnetization, μB per cell: 0.0
Calculated volume, Å³ per atom: 18.54


Entry 3:
TiInS2 after structural relaxation. Source: Alexandria via LeMat-Bulk, functional GGA-PBE.

a b c (Å): 9.180 9.180 9.180
angles (deg): 23.96 23.96 23.96
Last column: magnetic moment on the atom in μB.
Fractional coordinates of all 4 atoms:
In 0.494 0.494 0.494  0.00
S 0.098 0.098 0.098  -0.02
S 0.645 0.645 0.645  -0.05
Ti 0.013 0.013 0.013  0.82

## Properties
Space-group type: R3m
Calculated total energy, eV per atom: -5.46
Magnetization, μB per cell: 1.0
Calculated volume, Å³ per atom: 28.03


Entry 4:
TiInS2 after structural relaxation. Source: Alexandria via LeMat-Bulk, functional GGA-PBE.

a b c (Å): 8.790 3.422 3.430
angles (deg): 120.09 78.77 111.61
Fractional coordinates of all 4 atoms:
S 0.629 0.182 0.252
S 0.983 0.178 0.573
Ti 0.806 0.681 0.912
In 0.306 0.161 0.927

## Properties
Space-group type: P1
Calculated total energy, eV per atom: -5.72
Magnetization, μB per cell: 0.0
Calculated volume, Å³ per atom: 20.75


Computed energy relative to the elements, uncorrected (eV per atom) in order:
-0.2410; -0.4771; -0.7412; -0.9967